# 1
TcTe3O after structural relaxation, computed with PBE.

The structure in CIF format:
```
data_TcTe3O
_chemical_formula_sum 'Tc1 Te3 O1'
_cell_length_a 4.680
_cell_length_b 4.680
_cell_length_c 4.680
_cell_angle_alpha 90.00
_cell_angle_beta 90.00
_cell_angle_gamma 90.00
_symmetry_space_group_name_H-M 'P m -3 m'
_symmetry_Int_Tables_number 221
_symmetry_space_group_name_Hall '-P 4 2 3'
loop_
_atom_site_label
_atom_site_type_symbol
_atom_site_fract_x
_atom_site_fract_y
_atom_site_fract_z
Tc1 Tc 0.000 0.000 0.000
Te1 Te 0.000 0.500 0.500
O1 O 0.500 0.500 0.500
```

## Properties
The calculation puts the raw formation energy at 678 meV per atom. The offset from the most stable computed form is 0.000 eV per atom.

=====

# 2
TcTe2O after structural relaxation, computed with PBE.

The structure in CIF format:
```
data_TcTe2O
_chemical_formula_sum 'Tc3 Te6 O3'
_cell_length_a 4.0863
_cell_length_b 4.0863
_cell_length_c 19.6313
_cell_angle_alpha 90.00
_cell_angle_beta 90.00
_cell_angle_gamma 120.00
_symmetry_space_group_name_H-M 'R -3 m'
_symmetry_Int_Tables_number 166
_symmetry_space_group_name_Hall '-R 3 2"'
loop_
_atom_site_label
_atom_site_type_symbol
_atom_site_fract_x
_atom_site_fract_y
_atom_site_fract_z
Tc1 Tc 0.0000 0.0000 0.0000
Te1 Te 0.0000 0.0000 0.3980
O1 O 0.0000 0.0000 0.5000
```

## Properties
The calculation puts the raw formation energy at -95 meV per atom.

=====

# 3
TcTeO2 after structural relaxation, computed with PBE.

The structure in CIF format:
```
data_TcTeO2
_chemical_formula_sum 'Tc3 Te3 O6'
_cell_length_a 3.1514
_cell_length_b 3.1514
_cell_length_c 28.7978
_cell_angle_alpha 90.00
_cell_angle_beta 90.00
_cell_angle_gamma 120.00
_symmetry_space_group_name_H-M 'R -3 m'
_symmetry_Int_Tables_number 166
_symmetry_space_group_name_Hall '-R 3 2"'
loop_
_atom_site_label
_atom_site_type_symbol
_atom_site_fract_x
_atom_site_fract_y
_atom_site_fract_z
Tc1 Tc 0.0000 0.0000 0.0000
Te1 Te 0.0000 0.0000 0.5000
O1 O 0.0000 0.0000 0.3668
```

## Properties
The calculation puts the raw formation energy at -697 meV per atom.

=====

# 4
TlTc2TeO8 after structural relaxation, computed with PBE.

The structure in CIF format:
```
data_TlTc2TeO8
_chemical_formula_sum 'Tl2 Tc4 Te2 O16'
_cell_length_a 8.642
_cell_length_b 6.801
_cell_length_c 8.723
_cell_angle_alpha 90.00
_cell_angle_beta 97.06
_cell_angle_gamma 90.00
_symmetry_space_group_name_H-M 'C 1 2/m 1'
_symmetry_Int_Tables_number 12
loop_
_symmetry_equiv_pos_as_xyz
'x,y,z'
'-x,-y,-z'
'-x,y,-z'
'x,-y,z'
'x+1/2,y+1/2,z'
'-x+1/2,-y+1/2,-z'
'-x+1/2,y+1/2,-z'
'x+1/2,-y+1/2,z'
loop_
_atom_site_label
_atom_site_type_symbol
_atom_site_fract_x
_atom_site_fract_y
_atom_site_fract_z
Tl1 Tl 0.000 0.000 0.000
Tc1 Tc 0.110 0.500 0.242
Te1 Te 0.000 0.000 0.500
O1 O 0.000 0.287 0.260
O2 O 0.189 0.500 0.067
O3 O 0.235 0.000 0.600
```

## Properties
The calculation puts the raw formation energy at -1118 meV per atom.

=====

# 5
TlTcTe2O8 after structural relaxation, computed with PBE.

The structure in CIF format:
```
data_TlTcTe2O8
_chemical_formula_sum 'Tl1 Tc1 Te2 O8'
_cell_length_a 5.064
_cell_length_b 5.077
_cell_length_c 6.774
_cell_angle_alpha 86.41
_cell_angle_beta 86.84
_cell_angle_gamma 85.04
_symmetry_space_group_name_H-M 'P -1'
_symmetry_Int_Tables_number 2
loop_
_symmetry_equiv_pos_as_xyz
'x,y,z'
'-x,-y,-z'
loop_
_atom_site_label
_atom_site_type_symbol
_atom_site_fract_x
_atom_site_fract_y
_atom_site_fract_z
Tl1 Tl 0.000 0.000 0.000
Tc1 Tc 0.000 0.000 0.500
Te1 Te 0.478 0.477 0.250
O1 O 0.157 0.780 0.281
O2 O 0.225 0.843 0.720
O3 O 0.246 0.249 0.438
O4 O 0.329 0.333 0.028
```

## Properties
The calculation puts the raw formation energy at -988 meV per atom.

=====

# 6
TlTcTe2O after structural relaxation, computed with PBE.

The structure in CIF format:
```
data_TlTcTe2O
_chemical_formula_sum 'Tl1 Tc1 Te2 O1'
_cell_length_a 5.680
_cell_length_b 5.680
_cell_length_c 3.710
_cell_angle_alpha 90.00
_cell_angle_beta 90.00
_cell_angle_gamma 90.00
_symmetry_space_group_name_H-M 'P 4/m m m'
_symmetry_Int_Tables_number 123
_symmetry_space_group_name_Hall '-P 4 2'
loop_
_atom_site_label
_atom_site_type_symbol
_atom_site_fract_x
_atom_site_fract_y
_atom_site_fract_z
Tl1 Tl 0.000 0.000 0.000
Tc1 Tc 0.500 0.500 0.500
Te1 Te 0.000 0.500 0.500
O1 O 0.500 0.500 0.000
```

## Properties
The calculation puts the raw formation energy at -364 meV per atom.